Density functional theory data (PBE-GGA) for a geometry-optimized PrGaI4 structure.

- Symmetry: C2/m, No. 12
- Raw formation energy: -1.054 eV/atom
- V: 47.9 Å³/atom

Cell: 4.6389 8.2318 15.0574 Å, 89.95 90.00 90.00°
Sites, in units of the cell vectors:
I: 0.0000 0.6564 0.8808
I: 0.5001 0.1887 0.8845
Pr: 0.0000 0.0000 0.5000
I: 0.5000 0.8436 0.6192
I: 0.0001 0.3113 0.6155
I: 0.4999 0.8113 0.1155
I: 0.5000 0.1564 0.3808
Ga: 0.5000 0.5000 0.5000
I: 0.9999 0.6887 0.3845
Pr: 0.5000 0.5000 0.0000
I: 0.0000 0.3436 0.1192
Ga: 0.0000 0.0000 0.0000

Density functional theory data (PBE-GGA) for a geometry-optimized Pr2GaI structure.

- Symmetry: P4/mmm, No. 123
- Raw formation energy: -0.697 eV/atom
- V: 29.0 Å³/atom

Cell: 3.6848 3.6848 8.5442 Å, 90.00 90.00 90.00°
Sites, in units of the cell vectors:
I: 0.5000 0.5000 0.5000
Pr: 0.0000 0.0000 0.2218
Pr: 0.0000 0.0000 0.7782
Ga: 0.5000 0.5000 0.0000

Density functional theory data (PBE-GGA) for a geometry-optimized PrGaI2 structure.

- Symmetry: R-3m, No. 166
- Raw formation energy: -0.389 eV/atom
- V: 40.8 Å³/atom

Cell: 4.2562 4.2562 10.6933 Å, 78.52 78.52 60.00°
Sites, in units of the cell vectors:
Ga: 0.5000 0.5000 0.5000
I: 0.0994 0.0994 0.7017
I: 0.9006 0.9006 0.2983
Pr: 0.0000 0.0000 0.0000

Density functional theory data (PBE-GGA) for a geometry-optimized Pr2GaI structure.

- Symmetry: R-3m, No. 166
- Raw formation energy: -0.775 eV/atom
- V: 32.2 Å³/atom

Cell: 4.4110 4.4110 8.0476 Å, 74.09 74.09 60.00°
Sites, in units of the cell vectors:
I: 0.5000 0.5000 0.5000
Pr: 0.7378 0.7378 0.7866
Ga: 0.0000 0.0000 0.0000
Pr: 0.2622 0.2622 0.2134

Density functional theory data (PBE-GGA) for a geometry-optimized Pr2GaI structure.

- Symmetry: P6_3/mmc, No. 194
- Raw formation energy: -0.774 eV/atom
- V: 32.3 Å³/atom

Cell: 4.3744 4.3744 15.6134 Å, 90.00 90.00 120.00°
Sites, in units of the cell vectors:
Pr: 0.6667 0.3333 0.6054
Pr: 0.3333 0.6667 0.3946
I: 0.3333 0.6667 0.7500
Pr: 0.3333 0.6667 0.1054
Pr: 0.6667 0.3333 0.8946
Ga: 0.0000 0.0000 0.5000
I: 0.6667 0.3333 0.2500
Ga: 0.0000 0.0000 0.0000

Density functional theory data (PBE-GGA) for a geometry-optimized Pr2GaI structure.

- Symmetry: C2/c, No. 15
- Raw formation energy: -0.774 eV/atom
- V: 31.7 Å³/atom

Cell: 7.6634 7.9411 9.9097 Å, 105.83 104.72 109.31°
Sites, in units of the cell vectors:
Pr: 0.6971 0.4266 0.3765
I: 0.5700 0.3200 0.6400
Pr: 0.1793 0.9499 0.3765
I: 0.8063 0.5563 0.1127
Pr: 0.4165 0.1439 0.8735
Ga: 0.6801 0.9301 0.8602
Pr: 0.5835 0.8561 0.1265
Pr: 0.9571 0.7296 0.8735
Pr: 0.8207 0.0501 0.6235
I: 0.1937 0.4437 0.8873
I: 0.4300 0.6800 0.3600
Ga: 0.3199 0.0699 0.1398
Ga: 0.0555 0.8055 0.6111
Pr: 0.0429 0.2704 0.1265
Pr: 0.3029 0.5734 0.6235
Ga: 0.9445 0.1945 0.3889

Density functional theory data (PBE-GGA) for a geometry-optimized Pr3GaI3 structure.

- Symmetry: I4_132, No. 214
- Raw formation energy: -1.098 eV/atom
- V: 36.1 Å³/atom

Cell: 10.9512 10.9512 10.9512 Å, 109.47 109.47 109.47°
Sites, in units of the cell vectors:
Ga: 0.7500 0.2500 0.2500
Pr: 0.7638 0.7500 0.2362
Pr: 0.5138 0.0275 0.2638
I: 0.4923 0.9846 0.7423
I: 0.7500 0.9923 0.5077
Pr: 0.7362 0.2638 0.7500
Pr: 0.7638 0.0138 0.0275
Pr: 0.9862 0.7500 0.0138
Pr: 0.2500 0.2362 0.2638
I: 0.7500 0.7577 0.7423
Pr: 0.9862 0.2362 0.4725
Pr: 0.7362 0.4725 0.4862
I: 0.0077 0.2500 0.9923
Pr: 0.2500 0.0138 0.4862
I: 0.4923 0.5077 0.2500
Pr: 0.5275 0.2638 0.0138
I: 0.2423 0.9923 0.9846
Ga: 0.7500 0.5000 0.0000
Pr: 0.9725 0.4862 0.2362
I: 0.2423 0.2500 0.7577
Ga: 0.0000 0.0000 0.2500
I: 0.0077 0.7577 0.5154
I: 0.2577 0.5154 0.5077
Pr: 0.5138 0.4862 0.7500
I: 0.0154 0.5077 0.7577
I: 0.2577 0.7423 0.2500
Ga: 0.5000 0.2500 0.5000
I: 0.4846 0.7423 0.9923

Density functional theory data (PBE-GGA) for a geometry-optimized Pr5Ga2I2 structure.

- Symmetry: Cmce, No. 64
- Raw formation energy: -0.684 eV/atom
- V: 30.4 Å³/atom

Cell: 8.2995 8.2282 9.0208 Å, 90.00 62.61 90.00°
Sites, in units of the cell vectors:
Pr: 0.0445 0.6691 0.2531
I: 0.7043 0.5000 0.5914
Pr: 0.5000 0.5000 0.0000
I: 0.2957 0.5000 0.4086
Ga: 0.1217 0.3781 0.0000
I: 0.2043 0.0000 0.5914
Pr: 0.5445 0.8309 0.2531
Pr: 0.7024 0.3309 0.2531
Pr: 0.7976 0.8309 0.7469
Ga: 0.8783 0.6219 0.0000
Pr: 0.4555 0.1691 0.7469
Pr: 0.2976 0.6691 0.7469
Pr: 0.9555 0.3309 0.7469
I: 0.7957 0.0000 0.4086
Pr: 0.2024 0.1691 0.2531
Pr: 0.0000 0.0000 0.0000
Ga: 0.6217 0.1219 0.0000
Ga: 0.3783 0.8781 0.0000

Density functional theory data (PBE-GGA) for a geometry-optimized PrGaI4 structure.

- Symmetry: C2/m, No. 12
- Raw formation energy: -0.915 eV/atom
- V: 40.8 Å³/atom

Cell: 5.5777 5.5679 9.9804 Å, 123.10 106.23 90.00°
Sites, in units of the cell vectors:
I: 0.8790 0.2627 0.7579
I: 0.3790 0.7628 0.7579
I: 0.6210 0.2372 0.2421
Ga: 0.5000 0.5000 0.0000
Pr: 0.0000 0.0000 0.0000
I: 0.1210 0.7373 0.2421

Density functional theory data (PBE-GGA) for a geometry-optimized Pr5Ga2I structure.

- Symmetry: I4/mcm, No. 140
- Raw formation energy: -0.490 eV/atom
- V: 30.2 Å³/atom

Cell: 8.4913 8.4913 9.0047 Å, 118.13 118.13 90.00°
Sites, in units of the cell vectors:
Ga: 0.6499 0.1499 0.0000
Pr: 0.9894 0.4894 0.2813
Pr: 0.0000 0.0000 0.0000
Pr: 0.2081 0.0106 0.7187
I: 0.7500 0.7500 0.5000
Pr: 0.0106 0.5106 0.7187
Pr: 0.7081 0.2081 0.7187
Pr: 0.2919 0.7919 0.2813
Ga: 0.3501 0.8501 0.0000
Ga: 0.8501 0.6499 0.0000
I: 0.2500 0.2500 0.5000
Pr: 0.4894 0.2919 0.2813
Ga: 0.1499 0.3501 0.0000
Pr: 0.5106 0.7081 0.7187
Pr: 0.7919 0.9894 0.2813
Pr: 0.5000 0.5000 0.0000

Density functional theory data (PBE-GGA) for a geometry-optimized Pr4Ga2I structure.

- Symmetry: I4_1/amd, No. 141
- Raw formation energy: -0.375 eV/atom
- V: 39.7 Å³/atom

Cell: 9.2260 9.2260 9.2267 Å, 119.91 119.91 90.13°
Sites, in units of the cell vectors:
Ga: 0.6250 0.3749 0.2499
I: 0.0000 0.9999 0.0000
Ga: 0.1250 0.3751 0.7501
Pr: 0.3952 0.1866 0.7914
Ga: 0.6251 0.8750 0.2501
Pr: 0.4365 0.1452 0.2914
Pr: 0.3952 0.6038 0.2086
Pr: 0.8546 0.5634 0.7084
Pr: 0.8135 0.6047 0.2085
Pr: 0.3962 0.6050 0.7915
Pr: 0.8550 0.1462 0.2916
I: 0.2500 0.7501 0.5000
Pr: 0.8538 0.1451 0.7086
Ga: 0.6249 0.3750 0.7499

Density functional theory data (PBE-GGA) for a geometry-optimized Pr4GaI5 structure.

- Symmetry: C2/m, No. 12
- Raw formation energy: -1.172 eV/atom
- V: 38.8 Å³/atom

Cell: 4.3827 9.1587 10.1535 Å, 102.25 102.46 90.00°
Sites, in units of the cell vectors:
Pr: 0.3502 0.9249 0.7005
I: 0.8285 0.1742 0.6570
I: 0.1715 0.8258 0.3430
I: 0.8328 0.6624 0.6657
Pr: 0.0000 0.2205 0.0000
I: 0.1672 0.3376 0.3343
Ga: 0.5000 0.0000 0.0000
Pr: 0.6498 0.0751 0.2995
Pr: 0.0000 0.7795 0.0000
I: 0.5000 0.5000 0.0000

Density functional theory data (PBE-GGA) for a geometry-optimized Pr4Ga2I5 structure.

- Symmetry: C2/m, No. 12
- Raw formation energy: -0.979 eV/atom
- V: 42.9 Å³/atom

Cell: 4.3432 8.8530 12.4726 Å, 89.27 100.03 90.00°
Sites, in units of the cell vectors:
Pr: 0.9837 0.2883 0.9674
Pr: 0.6613 0.5540 0.3226
I: 0.2075 0.3164 0.4150
I: 0.1449 0.8169 0.2898
Pr: 0.3387 0.4460 0.6774
Pr: 0.0163 0.7117 0.0326
Ga: 0.5489 0.4751 0.0978
I: 0.8551 0.1831 0.7102
I: 0.7925 0.6836 0.5850
Ga: 0.4511 0.5249 0.9022
I: 0.5000 0.0000 0.0000

Density functional theory data (PBE-GGA) for a geometry-optimized Pr4GaI3 structure.

- Symmetry: Cmmm, No. 65
- Raw formation energy: -0.835 eV/atom
- V: 33.6 Å³/atom

Cell: 4.4883 7.9622 7.9622 Å, 108.94 90.00 90.00°
Sites, in units of the cell vectors:
Pr: 0.0000 0.7922 0.7922
Ga: 0.5000 0.0000 0.0000
Pr: 0.0000 0.2078 0.2078
I: 0.0000 0.0000 0.5000
Pr: 0.5000 0.7772 0.2228
I: 0.0000 0.5000 0.0000
Pr: 0.5000 0.2228 0.7772
I: 0.5000 0.5000 0.5000

Density functional theory data (PBE-GGA) for a geometry-optimized Pr8Ga3PtI4 structure.

- Symmetry: R-3m, No. 166
- Raw formation energy: -0.831 eV/atom
- V: 32.4 Å³/atom

Cell: 8.7915 9.2518 8.7960 Å, 118.41 119.98 90.00°
Sites, in units of the cell vectors:
Ga: 0.5000 0.5000 0.0000
Pr: 0.7415 0.7031 0.9723
I: 0.5000 0.0000 0.0000
Pr: 0.2308 0.7031 0.9723
I: 0.0000 0.0000 0.0000
I: 0.5000 0.0000 0.5000
Pr: 0.7387 0.7161 0.4774
Pr: 0.7692 0.2969 0.0277
Pr: 0.7691 0.2967 0.5382
Pr: 0.2309 0.7033 0.4618
Ga: 0.5000 0.5000 0.5000
Pr: 0.2585 0.2969 0.0277
I: 0.0000 0.0000 0.5000
Pr: 0.2613 0.2839 0.5226
Pt: 0.0000 0.5000 0.0000
Ga: 0.0000 0.5000 0.5000

Density functional theory data (PBE-GGA) for a geometry-optimized Pr4GaRhI2 structure.

- Symmetry: P2/m, No. 10
- Raw formation energy: -0.816 eV/atom
- V: 32.6 Å³/atom

Cell: 4.2480 7.6662 8.3823 Å, 107.06 90.00 90.00°
Sites, in units of the cell vectors:
Ga: 0.5000 0.5000 0.0000
Pr: 0.0000 0.2443 0.8073
Pr: 0.0000 0.7557 0.1927
I: 0.0000 0.5000 0.5000
Pr: 0.5000 0.7741 0.8098
Rh: 0.0000 0.0000 0.0000
I: 0.5000 0.0000 0.5000
Pr: 0.5000 0.2259 0.1902

Density functional theory data (PBE-GGA) for a geometry-optimized Pr8Ga3RuI4 structure.

- Symmetry: R-3m, No. 166
- Raw formation energy: -0.731 eV/atom
- V: 32.5 Å³/atom

Cell: 8.7459 9.3365 8.7485 Å, 117.95 119.99 90.00°
Sites, in units of the cell vectors:
Pr: 0.7489 0.6953 0.9722
Ga: 0.5000 0.5000 0.0000
Pr: 0.2511 0.3047 0.0278
Pr: 0.7386 0.7159 0.4773
Ga: 0.0000 0.5000 0.5000
Pr: 0.2614 0.2841 0.5227
Ru: 0.0000 0.5000 0.0000
I: 0.5000 0.0000 0.5000
I: 0.0000 0.0000 0.5000
I: 0.0000 0.0000 0.0000
Pr: 0.7768 0.3047 0.0278
Pr: 0.2232 0.6953 0.9722
Pr: 0.2233 0.6955 0.4467
Pr: 0.7767 0.3045 0.5533
Ga: 0.5000 0.5000 0.5000
I: 0.5000 0.0000 0.0000

Density functional theory data (PBE-GGA) for a geometry-optimized Pr6Ga2SI3 structure.

- Symmetry: C2/m, No. 12
- Raw formation energy: -1.044 eV/atom
- V: 31.5 Å³/atom

Cell: 7.4766 7.4766 8.1848 Å, 98.75 98.75 119.94°
Sites, in units of the cell vectors:
Pr: 0.3951 0.0670 0.2006
I: 0.1700 0.8300 0.5000
Ga: 0.6665 0.3335 0.0000
Pr: 0.0670 0.3951 0.2006
Pr: 0.2612 0.2612 0.7984
Pr: 0.7388 0.7388 0.2016
I: 0.5000 0.5000 0.5000
I: 0.8300 0.1700 0.5000
Pr: 0.9330 0.6049 0.7994
Ga: 0.3335 0.6665 0.0000
S: 0.0000 0.0000 0.0000
Pr: 0.6049 0.9330 0.7994

Density functional theory data (PBE-GGA) for a geometry-optimized Pr8GaS3I4 structure.

- Symmetry: R-3m, No. 166
- Raw formation energy: -1.335 eV/atom
- V: 30.3 Å³/atom

Cell: 8.4740 9.2025 8.4739 Å, 117.42 120.00 90.00°
Sites, in units of the cell vectors:
I: 0.5000 0.0000 0.5000
Pr: 0.2793 0.3086 0.0439
Pr: 0.2354 0.6914 0.9561
I: 0.0000 0.0000 0.5000
Ga: 0.0000 0.5000 0.0000
I: 0.0000 0.0000 0.0000
Pr: 0.7207 0.6914 0.9561
I: 0.5000 0.0000 0.0000
Pr: 0.7278 0.6833 0.4555
Pr: 0.2354 0.6914 0.4708
S: 0.5000 0.5000 0.5000
Pr: 0.7646 0.3086 0.5292
S: 0.0000 0.5000 0.5000
Pr: 0.7646 0.3086 0.0439
Pr: 0.2722 0.3167 0.5445
S: 0.5000 0.5000 0.0000

Density functional theory data (PBE-GGA) for a geometry-optimized Pr8GaSe3I4 structure.

- Symmetry: R-3m, No. 166
- Raw formation energy: -1.252 eV/atom
- V: 31.7 Å³/atom

Cell: 8.7081 9.2239 8.7084 Å, 118.17 120.00 90.00°
Sites, in units of the cell vectors:
Ga: 0.0000 0.5000 0.0000
Pr: 0.7683 0.3034 0.0351
Pr: 0.7683 0.3034 0.5366
Pr: 0.2696 0.3087 0.5391
I: 0.5000 0.0000 0.5000
Pr: 0.7304 0.6913 0.4609
Pr: 0.2669 0.3034 0.0351
Pr: 0.2317 0.6966 0.9649
Pr: 0.2317 0.6966 0.4634
I: 0.0000 0.0000 0.0000
Se: 0.5000 0.5000 0.5000
I: 0.0000 0.0000 0.5000
Pr: 0.7331 0.6966 0.9649
Se: 0.0000 0.5000 0.5000
Se: 0.5000 0.5000 0.0000
I: 0.5000 0.0000 0.0000